10
Lattice="4.3467 0.0000 0.0000 0.0000 4.3467 0.0000 0.0000 0.0000 16.8392" Properties=species:S:1:pos:R:3 comment="TePb4 SCAN single point on PBEsol structure" polymorph_energy_mev_per_atom=0 e_form_raw_ev_per_atom=0.031 space_group="I4/mmm, No. 139" total_magnetization_mub_per_fu=0.00 pbc="T T T"
Te 0.0000 0.0000 0.0000
Te 2.1733 2.1733 8.4196
Pb 0.0000 0.0000 6.8270
Pb 0.0000 0.0000 10.0122
Pb 0.0000 2.1733 4.2098
Pb 0.0000 2.1733 12.6294
Pb 2.1733 0.0000 4.2098
Pb 2.1733 0.0000 12.6294
Pb 2.1733 2.1733 1.5926
Pb 2.1733 2.1733 15.2466

16
Lattice="6.2553 0.0000 0.0000 0.0000 6.2553 0.0000 0.0000 0.0000 6.2553" Properties=species:S:1:pos:R:3 comment="P2RhBr SCAN single point on PBEsol structure" polymorph_energy_mev_per_atom=1139 e_form_raw_ev_per_atom=0.886 space_group="Fm-3m, No. 225" total_magnetization_mub_per_fu=0.00 pbc="T T T"
P 1.5638 1.5638 1.5638
P 1.5638 1.5638 4.6915
P 1.5638 4.6915 1.5638
P 1.5638 4.6915 4.6915
P 4.6915 1.5638 1.5638
P 4.6915 1.5638 4.6915
P 4.6915 4.6915 1.5638
P 4.6915 4.6915 4.6915
Rh 0.0000 0.0000 0.0000
Rh 0.0000 3.1277 3.1277
Rh 3.1277 0.0000 3.1277
Rh 3.1277 3.1277 0.0000
Br 0.0000 0.0000 3.1277
Br 0.0000 3.1277 0.0000
Br 3.1277 0.0000 0.0000
Br 3.1277 3.1277 3.1277

4
Lattice="3.8587 0.0000 0.0000 0.0000 4.2627 0.0000 -0.9903 0.0000 4.9766" Properties=species:S:1:pos:R:3 comment="BaLiCo2 SCAN single point on PBEsol structure" polymorph_energy_mev_per_atom=221 formation_enthalpy_0k_mev_per_atom=644 space_group="P2/m, No. 10" total_magnetization_mub_per_fu=3.10 pbc="T T T"
Ba 0.0000 0.0000 0.0000
Li 1.4342 0.0000 2.4883
Co 0.4697 2.1313 2.9790
Co 2.3987 2.1313 1.9975

6
Lattice="4.6073 0.0000 0.0000 -2.3037 3.9901 0.0000 0.0000 0.0000 7.1826" Properties=species:S:1:pos:R:3 comment="Li3YBi2 SCAN single point on PBEsol structure" formation_enthalpy_0k_mev_per_atom=-752 space_group="P-3m1, No. 164" total_magnetization_mub_per_fu=0.00 pbc="T T T"
Li 0.0000 0.0000 0.0000
Li 0.0000 2.6600 1.1013
Li 2.3037 1.3300 6.0813
Y 0.0000 0.0000 3.5913
Bi 0.0000 2.6600 5.3574
Bi 2.3037 1.3300 1.8252